1.
# Pm2InCu4Ge3

An optimized crystal structure of Pm2InCu4Ge3 (PBE, Alexandria).

abc: 4.191 4.191 10.495
angles: 90.00 90.00 90.00
Fractional coordinates of all 10 atoms:
Cu1 0.500 0.500 0.000
Cu2 0.000 0.500 0.353
Cu3 0.500 0.000 0.647
Cu4 0.000 0.000 0.000
Ge1 0.500 0.000 0.874
Ge2 0.000 0.500 0.126
Ge3 0.000 0.000 0.500
Pm1 0.500 0.000 0.232
Pm2 0.000 0.500 0.768
In1 0.500 0.500 0.500

Output
Formation energy   -0.46 eV/atom
VASP energy   -4.713 eV/atom

***

2.
# Pm2Y2Cd

An optimized crystal structure of Pm2Y2Cd (PBE, Alexandria).

abc: 5.197 5.197 12.855
angles: 101.66 101.66 90.00
Fractional coordinates of all 10 atoms:
Pm1 0.079 0.579 0.157
Pm2 0.329 0.329 0.657
Pm3 0.421 0.921 0.843
Pm4 0.671 0.671 0.343
Y1 0.929 0.429 0.859
Y2 0.821 0.821 0.641
Y3 0.571 0.071 0.141
Y4 0.179 0.179 0.359
Cd1 0.500 0.500 0.000
Cd2 0.250 0.750 0.500

Output
Energy relative to the lowest polymorph listed for this composition   0.159 eV per atom
Formation energy   0.03 eV/atom
VASP energy   -4.635 eV/atom